(1)
NdGa2Ir after structural relaxation, computed with PBE.

a = 4.2324 Å, b = 4.2324 Å, c = 10.4638 Å
α = 90.00°, β = 90.00°, γ = 120.00°
Fractional coordinates of all 8 atoms:
1 Nd 0.3333 0.6667 0.2500
2 Nd 0.6667 0.3333 0.7500
3 Ga 0.3333 0.6667 0.5738
4 Ga 0.3333 0.6667 0.9262
5 Ga 0.6667 0.3333 0.0738
6 Ga 0.6667 0.3333 0.4262
7 Ir 0.0000 0.0000 0.0000
8 Ir 0.0000 0.0000 0.5000

Results
The space group is P6_3/mmc. The formation energy is -0.6963 eV/atom.

=====

(2)
LaTaAs2Br after structural relaxation, computed with PBE.

a = 5.0626 Å, b = 5.0626 Å, c = 5.0245 Å
α = 90.00°, β = 90.00°, γ = 90.00°
Fractional coordinates of all 5 atoms:
1 La 0.0000 0.0000 0.0000
2 Ta 0.5000 0.5000 0.5000
3 As 0.0000 0.5000 0.5000
4 As 0.5000 0.0000 0.5000
5 Br 0.5000 0.5000 0.0000

Results
The formation energy from raw total energies is -478 meV per atom. The space group is P4/mmm.

=====

(3)
Ba2AlRh2 after structural relaxation, computed with PBE.

a = 6.9534 Å, b = 6.9534 Å, c = 5.1378 Å
α = 90.00°, β = 90.00°, γ = 90.00°
Fractional coordinates of all 10 atoms:
1 Ba 0.1806 0.3194 0.0000
2 Ba 0.3194 0.8194 0.0000
3 Ba 0.6806 0.1806 0.0000
4 Ba 0.8194 0.6806 0.0000
5 Al 0.0000 0.0000 0.5000
6 Al 0.5000 0.5000 0.5000
7 Rh 0.1362 0.6362 0.5000
8 Rh 0.3638 0.1362 0.5000
9 Rh 0.6362 0.8638 0.5000
10 Rh 0.8638 0.3638 0.5000

Results
The space group is P4/mbm. The formation energy is -0.2062 eV/atom.

=====

| no. | DFT total energy (eV per cell) |
| --- | --- |
| 1 | -44.94 |
| 2 | -30.14 |
| 3 | -46.64 |